Compound: Sr2LaHg3
Source: Alexandria via LeMat-Bulk
Functional: PBE
Structure: relaxed

Computed properties:
Total magnetic moment (μB per formula unit): 0.0
Total DFT energy (no corrections) (eV/atom): -2.06
Energy of formation from the pure elements (meV per atom): -528

Cell lengths 3.9752, 3.9752, 11.9276 Å; angles 90.00, 90.00, 90.00 degrees
Positions (direct):
Sr  0.0000  0.0000  0.1689
Sr  0.0000  0.0000  0.8311
La  0.0000  0.0000  0.5000
Hg  0.5000  0.5000  0.0000
Hg  0.5000  0.5000  0.3440
Hg  0.5000  0.5000  0.6560

***

Compound: SrLa3Hg6
Source: Alexandria via LeMat-Bulk
Functional: PBE
Structure: relaxed

Computed properties:
Total magnetic moment (μB per formula unit): 0.0
Total DFT energy (no corrections) (eV/atom): -2.29
Energy of formation from the pure elements (meV per atom): -464

Cell lengths 9.7154, 5.3778, 11.7303 Å; angles 90.00, 107.06, 90.00 degrees
Positions (direct):
Sr  0.0588  0.2500  0.3951
Sr  0.9412  0.7500  0.6049
La  0.2223  0.2500  0.0177
La  0.3570  0.7500  0.7942
La  0.4889  0.2500  0.6231
La  0.5111  0.7500  0.3769
La  0.6430  0.2500  0.2058
La  0.7777  0.7500  0.9823
Hg  0.0691  0.7500  0.8938
Hg  0.1418  0.7500  0.1935
Hg  0.1671  0.2500  0.7080
Hg  0.2598  0.7500  0.5069
Hg  0.3421  0.2500  0.3052
Hg  0.4657  0.7500  0.0813
Hg  0.5343  0.2500  0.9187
Hg  0.6579  0.7500  0.6948
Hg  0.7402  0.2500  0.4931
Hg  0.8329  0.7500  0.2920
Hg  0.8582  0.2500  0.8065
Hg  0.9309  0.2500  0.1062

***

Compound: SrLaHg4
Source: Alexandria via LeMat-Bulk
Functional: PBE
Structure: relaxed

Computed properties:
Total magnetic moment (μB per formula unit): 0.0
Total DFT energy (no corrections) (eV/atom): -1.64
Energy of formation from the pure elements (meV per atom): -335

Cell lengths 6.1669, 6.1669, 6.1669 Å; angles 60.00, 60.00, 60.00 degrees
Positions (direct):
Sr  0.0000  0.0000  0.0000
La  0.2500  0.2500  0.2500
Hg  0.1257  0.6248  0.6248
Hg  0.6248  0.1257  0.6248
Hg  0.6248  0.6248  0.1257
Hg  0.6248  0.6248  0.6248